The following is a PBE-GGA calculation of crystalline CaGdAu2 at its relaxed geometry, from the Alexandria database.

Properties
Its space-group type is P4/mmm, No. 123.

abc: 3.646 3.646 7.293
angles: 90.00 90.00 90.00
Last column: magnetic moment on the atom in μB.
Atoms (fractional coordinates):
Ca  0.500  0.500  0.500  0.01
Au  0.000  0.000  0.766  0.00
Au  0.000  0.000  0.234  0.00
Gd  0.500  0.500  0.000  7.01


The following is a PBE-GGA calculation of crystalline CaGdAu4 at its relaxed geometry, from the Alexandria database.

Properties
Its space-group type is F-43m, No. 216.

abc: 5.694 5.694 5.694
angles: 60.00 60.00 60.00
Last column: magnetic moment on the atom in μB.
Atoms (fractional coordinates):
Ca  0.250  0.250  0.250  0.02
Au  0.625  0.126  0.625  0.05
Au  0.126  0.625  0.625  0.05
Gd  0.000  0.000  0.000  7.01
Au  0.625  0.625  0.625  0.05
Au  0.625  0.625  0.126  0.05


The following is a PBE-GGA calculation of crystalline CaGd2Au at its relaxed geometry, from the Alexandria database.

Properties
Its space-group type is P4/mmm, No. 123. As for the polymorph energy (0 for the lowest one): 0.000 eV/atom.

abc: 3.666 3.666 9.256
angles: 90.00 90.00 90.00
Last column: magnetic moment on the atom in μB.
Atoms (fractional coordinates):
Ca  0.500  0.500  0.500  0.04
Au  0.500  0.500  0.000  0.01
Gd  0.000  0.000  0.186  7.10
Gd  0.000  0.000  0.814  7.10


The following is a PBE-GGA calculation of crystalline CaGdAu2 at its relaxed geometry, from the Alexandria database.

Properties
Its space-group type is R-3m, No. 166.

abc: 4.237 4.237 7.452
angles: 73.49 73.49 60.00
Last column: magnetic moment on the atom in μB.
Atoms (fractional coordinates):
Au  0.753  0.753  0.741  0.00
Au  0.247  0.247  0.259  0.00
Ca  0.000  0.000  0.000  0.00
Gd  0.500  0.500  0.500  6.97


The following is a PBE-GGA calculation of crystalline CaGd2Au at its relaxed geometry, from the Alexandria database.

Properties
Its space-group type is R-3m, No. 166. As for the polymorph energy (0 for the lowest one): 0.091 eV/atom.

abc: 3.893 3.893 10.432
angles: 79.25 79.25 60.00
Last column: magnetic moment on the atom in μB.
Atoms (fractional coordinates):
Gd  0.270  0.270  0.190  7.14
Gd  0.730  0.730  0.810  7.14
Ca  0.500  0.500  0.500  0.02
Au  0.000  0.000  0.000  0.04


The following is a PBE-GGA calculation of crystalline CaGdGeAu at its relaxed geometry, from the Alexandria database.

Properties
Its space-group type is F-43m, No. 216.

abc: 5.131 5.131 5.131
angles: 60.00 60.00 60.00
Last column: magnetic moment on the atom in μB.
Atoms (fractional coordinates):
Ge  0.250  0.250  0.250  -0.05
Gd  0.000  0.000  0.000  6.96
Au  0.750  0.750  0.750  -0.02
Ca  0.500  0.500  0.500  -0.01


The following is a PBE-GGA calculation of crystalline CaGdInAu at its relaxed geometry, from the Alexandria database.

Properties
Its space-group type is F-43m, No. 216.

abc: 5.269 5.269 5.269
angles: 60.00 60.00 60.00
Last column: magnetic moment on the atom in μB.
Atoms (fractional coordinates):
Ca  0.250  0.250  0.250  0.00
In  0.500  0.500  0.500  0.01
Gd  0.750  0.750  0.750  7.05
Au  0.000  0.000  0.000  0.01


The following is a PBE-GGA calculation of crystalline LiCaGdAu at its relaxed geometry, from the Alexandria database.

Properties
Its space-group type is F-43m, No. 216.

abc: 5.168 5.168 5.168
angles: 60.00 60.00 60.00
Last column: magnetic moment on the atom in μB.
Atoms (fractional coordinates):
Ca  0.250  0.250  0.250  0.00
Gd  0.750  0.750  0.750  7.05
Au  0.000  0.000  0.000  0.00
Li  0.500  0.500  0.500  0.01


The following is a PBE-GGA calculation of crystalline CaGdNiAu at its relaxed geometry, from the Alexandria database.

Properties
Its space-group type is F-43m, No. 216.

abc: 5.001 5.001 5.001
angles: 60.00 60.00 60.00
Last column: magnetic moment on the atom in μB.
Atoms (fractional coordinates):
Au  0.250  0.250  0.250  0.00
Gd  0.500  0.500  0.500  7.01
Ca  0.000  0.000  0.000  0.01
Ni  0.750  0.750  0.750  -0.02


The following is a PBE-GGA calculation of crystalline CaGdPbAu at its relaxed geometry, from the Alexandria database.

Properties
Its space-group type is F-43m, No. 216.

abc: 5.329 5.329 5.329
angles: 60.00 60.00 60.00
Last column: magnetic moment on the atom in μB.
Atoms (fractional coordinates):
Ca  0.750  0.750  0.750  -0.01
Pb  0.500  0.500  0.500  -0.04
Au  0.000  0.000  0.000  -0.02
Gd  0.250  0.250  0.250  6.95


The following is a PBE-GGA calculation of crystalline CaGdPdAu at its relaxed geometry, from the Alexandria database.

Properties
Its space-group type is F-43m, No. 216.

abc: 5.061 5.061 5.061
angles: 60.00 60.00 60.00
Last column: magnetic moment on the atom in μB.
Atoms (fractional coordinates):
Au  0.500  0.500  0.500  0.00
Gd  0.750  0.750  0.750  7.01
Ca  0.250  0.250  0.250  0.00
Pd  0.000  0.000  0.000  -0.01


The following is a PBE-GGA calculation of crystalline CaGdRhAu at its relaxed geometry, from the Alexandria database.

Properties
Its space-group type is F-43m, No. 216.

abc: 4.997 4.997 4.997
angles: 60.00 60.00 60.00
Last column: magnetic moment on the atom in μB.
Atoms (fractional coordinates):
Ca  0.250  0.250  0.250  0.01
Gd  0.750  0.750  0.750  7.01
Rh  0.500  0.500  0.500  -0.04
Au  0.000  0.000  0.000  0.01


E_tot (eV/atom)
-6.480, -5.424, -8.712, -6.386, -8.621, -6.766, -6.138, -5.715, -6.750, -6.441, -6.920, -7.359
Formation energy from the elements (eV/atom)
-0.82, -0.56, -0.35, -0.73, -0.26, -0.77, -0.61, -0.40, -0.46, -0.67, -0.78, -0.68
Total magnetization (Bohr magnetons per cell)
7.161, 7.476, 14.833, 7.082, 15.128, 6.950, 7.274, 7.284, 7.154, 6.951, 7.124, 7.138